# KBiN2 | the Alexandria database | PBE | optimized geometry
# * energy: -76.6 eV for the cell shown
# * spin magnetization: 0.000 μB per atom
data_KBiN2
_chemical_formula_sum 'K4 Bi4 N8'
_symmetry_space_group_name_H-M 'I -4 2 d'
_symmetry_Int_Tables_number 122
_symmetry_space_group_name_Hall 'I -4 2bw'
_cell_length_a 6.333
_cell_length_b 6.333
_cell_length_c 8.245
_cell_angle_alpha 90.00
_cell_angle_beta 90.00
_cell_angle_gamma 90.00
loop_
_atom_site_label
_atom_site_type_symbol
_atom_site_fract_x
_atom_site_fract_y
_atom_site_fract_z
K1 K 0.000 0.000 0.000
Bi1 Bi 0.000 0.000 0.500
N1 N 0.168 0.250 0.625